{"formula": "MnFe2Hg", "functional": "SCAN", "state": "single point on PBEsol structure", "magnetic_moment_mub_per_fu": 9.0, "spacegroup": "No. 160", "formation_energy_ev_per_atom": 0.2317, "cell": [[1.409, 0.813, 8.316], [-1.409, 0.813, 8.316], [0.000, -1.626, 8.316]], "species": ["Mn", "Fe", "Fe", "Hg"], "frac_coords": [[0.000, 0.000, 0.000], [0.481, 0.481, 0.481], [0.744, 0.744, 0.744], [0.239, 0.239, 0.239]]}


{"formula": "ZrZnIr3", "functional": "SCAN", "state": "single point on PBEsol structure", "magnetic_moment_mub_per_fu": 0.0, "spacegroup": "No. 221", "formation_energy_ev_per_atom": 0.6079, "cell": [[4.436, 0.000, 0.000], [0.000, 4.436, 0.000], [0.000, 0.000, 4.436]], "species": ["Zr", "Zn", "Ir", "Ir", "Ir"], "frac_coords": [[0.000, 0.000, 0.000], [0.500, 0.500, 0.500], [0.000, 0.500, 0.500], [0.500, 0.000, 0.500], [0.500, 0.500, 0.000]]}


{"formula": "TiBS2", "functional": "SCAN", "state": "single point on PBEsol structure", "magnetic_moment_mub_per_fu": 0.0, "spacegroup": "No. 122", "formation_energy_uncorrected_mev_per_atom": -372, "cell": [[-2.643, 2.643, 4.108], [2.643, -2.643, 4.108], [2.643, 2.643, -4.108]], "species": ["Ti", "Ti", "B", "B", "S", "S", "S", "S"], "frac_coords": [[0.000, 0.000, 0.000], [0.750, 0.250, 0.500], [0.250, 0.750, 0.500], [0.500, 0.500, 0.000], [0.199, 0.625, 0.074], [0.375, 0.449, 0.574], [0.551, 0.125, 0.926], [0.875, 0.801, 0.426]]}


{"formula": "CdHg2Ir", "functional": "SCAN", "state": "single point on PBEsol structure", "de_polymorph_mev_per_atom": 68, "magnetic_moment_mub_per_fu": 0.0, "spacegroup": "No. 225", "formation_energy_ev_per_atom": 0.4095, "cell": [[0.000, 3.314, 3.314], [3.314, 0.000, 3.314], [3.314, 3.314, 0.000]], "species": ["Cd", "Hg", "Hg", "Ir"], "frac_coords": [[0.000, 0.000, 0.000], [0.250, 0.250, 0.250], [0.750, 0.750, 0.750], [0.500, 0.500, 0.500]]}


{"formula": "CoRh4", "functional": "SCAN", "state": "single point on PBEsol structure", "de_polymorph_mev_per_atom": 14, "magnetic_moment_mub_per_fu": 3.2, "spacegroup": "No. 87", "formation_energy_ev_per_atom": 0.0412, "cell": [[-2.943, 2.943, 1.859], [2.943, -2.943, 1.859], [2.943, 2.943, -1.859]], "species": ["Co", "Rh", "Rh", "Rh", "Rh"], "frac_coords": [[0.000, 0.000, 0.000], [0.203, 0.602, 0.805], [0.398, 0.203, 0.600], [0.602, 0.797, 0.400], [0.797, 0.398, 0.195]]}


{"formula": "Ca2SbN", "functional": "SCAN", "state": "single point on PBEsol structure", "de_polymorph_mev_per_atom": 0, "magnetic_moment_mub_per_fu": 0.5, "spacegroup": "No. 122", "formation_energy_uncorrected_mev_per_atom": -562, "cell": [[-3.730, 3.730, 3.199], [3.730, -3.730, 3.199], [3.730, 3.730, -3.199]], "species": ["Ca", "Ca", "Ca", "Ca", "Sb", "Sb", "N", "N"], "frac_coords": [[0.029, 0.625, 0.904], [0.375, 0.279, 0.404], [0.721, 0.125, 0.096], [0.875, 0.971, 0.596], [0.250, 0.750, 0.500], [0.500, 0.500, 0.000], [0.000, 0.000, 0.000], [0.750, 0.250, 0.500]]}


{"formula": "MgZrAl", "functional": "SCAN", "state": "single point on PBEsol structure", "magnetic_moment_mub_per_fu": 0.0, "spacegroup": "No. 156", "formation_energy_ev_per_atom": -0.0310, "cell": [[3.035, 0.000, 0.000], [-1.517, 2.628, 0.000], [0.000, 0.000, 7.548]], "species": ["Mg", "Zr", "Al"], "frac_coords": [[0.000, 0.000, 0.000], [0.333, 0.667, 0.643], [0.667, 0.333, 0.322]]}


{"formula": "SrLaRe3", "functional": "SCAN", "state": "single point on PBEsol structure", "magnetic_moment_mub_per_fu": 2.8, "spacegroup": "No. 221", "formation_energy_ev_per_atom": 2.4495, "cell": [[4.918, 0.000, 0.000], [0.000, 4.918, 0.000], [0.000, 0.000, 4.918]], "species": ["Sr", "La", "Re", "Re", "Re"], "frac_coords": [[0.000, 0.000, 0.000], [0.500, 0.500, 0.500], [0.000, 0.500, 0.500], [0.500, 0.000, 0.500], [0.500, 0.500, 0.000]]}


{"formula": "MgBeRu2", "functional": "SCAN", "state": "single point on PBEsol structure", "magnetic_moment_mub_per_fu": 0.0, "spacegroup": "No. 123", "formation_energy_ev_per_atom": 0.1444, "cell": [[4.085, 0.000, 0.000], [0.000, 4.085, 0.000], [0.000, 0.000, 3.023]], "species": ["Mg", "Be", "Ru", "Ru"], "frac_coords": [[0.000, 0.000, 0.000], [0.500, 0.500, 0.000], [0.000, 0.500, 0.500], [0.500, 0.000, 0.500]]}


{"formula": "Hf2ZrMnAs", "functional": "SCAN", "state": "single point on PBEsol structure", "magnetic_moment_mub_per_fu": 0.0, "spacegroup": "No. 123", "formation_energy_ev_per_atom": 0.2054, "cell": [[4.750, 0.000, 0.000], [0.000, 4.750, 0.000], [0.000, 0.000, 4.520]], "species": ["Hf", "Hf", "Zr", "Mn", "As"], "frac_coords": [[0.000, 0.500, 0.000], [0.500, 0.000, 0.000], [0.000, 0.000, 0.500], [0.000, 0.000, 0.000], [0.500, 0.500, 0.500]]}


{"formula": "CaOs2", "functional": "SCAN", "state": "single point on PBEsol structure", "magnetic_moment_mub_per_fu": 0.0, "spacegroup": "No. 164", "formation_energy_ev_per_atom": 0.7474, "cell": [[2.832, 0.000, 0.000], [-1.416, 2.453, 0.000], [0.000, 0.000, 7.197]], "species": ["Ca", "Os", "Os"], "frac_coords": [[0.000, 0.000, 0.000], [0.333, 0.667, 0.359], [0.667, 0.333, 0.641]]}


{"formula": "Zn2CdHg2", "functional": "SCAN", "state": "single point on PBEsol structure", "magnetic_moment_mub_per_fu": 0.0, "spacegroup": "No. 127", "formation_energy_ev_per_atom": 0.1045, "cell": [[7.014, 0.000, 0.000], [0.000, 7.014, 0.000], [0.000, 0.000, 3.951]], "species": ["Zn", "Zn", "Zn", "Zn", "Cd", "Cd", "Hg", "Hg", "Hg", "Hg"], "frac_coords": [[0.129, 0.371, 0.000], [0.371, 0.871, 0.000], [0.629, 0.129, 0.000], [0.871, 0.629, 0.000], [0.000, 0.000, 0.000], [0.500, 0.500, 0.000], [0.173, 0.673, 0.500], [0.327, 0.173, 0.500], [0.673, 0.827, 0.500], [0.827, 0.327, 0.500]]}


{"formula": "NiMo2W", "functional": "SCAN", "state": "single point on PBEsol structure", "de_polymorph_mev_per_atom": 211, "magnetic_moment_mub_per_fu": 0.0, "spacegroup": "No. 25", "formation_energy_ev_per_atom": 0.2831, "cell": [[2.577, 0.000, 0.000], [0.000, 4.037, 0.000], [0.000, 0.000, 5.532]], "species": ["Ni", "Mo", "Mo", "W"], "frac_coords": [[0.000, 0.000, 0.000], [0.000, 0.000, 0.498], [0.500, 0.500, 0.760], [0.500, 0.500, 0.232]]}


{"formula": "Cs4TlSbCl12", "functional": "SCAN", "state": "single point on PBEsol structure", "magnetic_moment_mub_per_fu": 0.0, "spacegroup": "No. 141", "formation_energy_uncorrected_mev_per_atom": -1501, "cell": [[-5.200, 5.200, 10.307], [5.200, -5.200, 10.307], [5.200, 5.200, -10.307]], "species": ["Cs", "Cs", "Cs", "Cs", "Cs", "Cs", "Cs", "Cs", "Tl", "Tl", "Sb", "Sb", "Cl", "Cl", "Cl", "Cl", "Cl", "Cl", "Cl", "Cl", "Cl", "Cl", "Cl", "Cl", "Cl", "Cl", "Cl", "Cl", "Cl", "Cl", "Cl", "Cl", "Cl", "Cl", "Cl", "Cl"], "frac_coords": [[0.000, 0.223, 0.223], [0.000, 0.777, 0.777], [0.223, 0.000, 0.723], [0.223, 0.500, 0.223], [0.500, 0.223, 0.723], [0.500, 0.777, 0.277], [0.777, 0.000, 0.277], [0.777, 0.500, 0.777], [0.125, 0.875, 0.250], [0.875, 0.125, 0.750], [0.375, 0.625, 0.750], [0.625, 0.375, 0.250], [0.001, 0.251, 0.750], [0.129, 0.129, 0.000], [0.129, 0.129, 0.500], [0.129, 0.629, 0.000], [0.143, 0.624, 0.519], [0.251, 0.001, 0.250], [0.259, 0.509, 0.750], [0.371, 0.871, 0.500], [0.376, 0.395, 0.519], [0.376, 0.857, 0.981], [0.395, 0.376, 0.019], [0.491, 0.741, 0.750], [0.509, 0.259, 0.250], [0.605, 0.624, 0.981], [0.624, 0.143, 0.019], [0.624, 0.605, 0.481], [0.629, 0.129, 0.500], [0.741, 0.491, 0.250], [0.749, 0.999, 0.750], [0.857, 0.376, 0.481], [0.871, 0.371, 0.000], [0.871, 0.871, 0.000], [0.871, 0.871, 0.500], [0.999, 0.749, 0.250]]}


{"formula": "Ta2InRe", "functional": "SCAN", "state": "single point on PBEsol structure", "magnetic_moment_mub_per_fu": 0.0, "spacegroup": "No. 12", "formation_energy_ev_per_atom": 0.1007, "cell": [[2.834, -4.399, 0.000], [2.834, 4.399, 0.000], [-0.601, 0.000, 2.755]], "species": ["Ta", "Ta", "In", "Re"], "frac_coords": [[0.000, 0.500, 0.000], [0.500, 0.000, 0.000], [0.000, 0.000, 0.500], [0.500, 0.500, 0.500]]}


{"formula": "K3AgH", "functional": "SCAN", "state": "single point on PBEsol structure", "magnetic_moment_mub_per_fu": 0.8, "spacegroup": "No. 221", "final_energy_ev_per_atom": -11.986, "cell": [[5.369, 0.000, 0.000], [0.000, 5.369, 0.000], [0.000, 0.000, 5.369]], "species": ["K", "K", "K", "Ag", "H"], "frac_coords": [[0.000, 0.000, 0.500], [0.000, 0.500, 0.000], [0.500, 0.000, 0.000], [0.500, 0.500, 0.500], [0.000, 0.000, 0.000]]}


{"formula": "Zr3AlTc", "functional": "SCAN", "state": "single point on PBEsol structure", "de_polymorph_mev_per_atom": 0, "magnetic_moment_mub_per_fu": 0.0, "spacegroup": "No. 221", "formation_energy_ev_per_atom": 0.3634, "cell": [[4.914, 0.000, 0.000], [0.000, 4.914, 0.000], [0.000, 0.000, 4.914]], "species": ["Zr", "Zr", "Zr", "Al", "Tc"], "frac_coords": [[0.000, 0.000, 0.500], [0.000, 0.500, 0.000], [0.500, 0.000, 0.000], [0.500, 0.500, 0.500], [0.000, 0.000, 0.000]]}


{"formula": "TaRhF3", "functional": "SCAN", "state": "single point on PBEsol structure", "magnetic_moment_mub_per_fu": 0.6, "spacegroup": "No. 221", "formation_energy_uncorrected_mev_per_atom": -1063, "cell": [[4.061, 0.000, 0.000], [0.000, 4.061, 0.000], [0.000, 0.000, 4.061]], "species": ["Ta", "Rh", "F", "F", "F"], "frac_coords": [[0.000, 0.000, 0.000], [0.500, 0.500, 0.500], [0.000, 0.000, 0.500], [0.000, 0.500, 0.000], [0.500, 0.000, 0.000]]}


{"formula": "BeAl2As", "functional": "SCAN", "state": "single point on PBEsol structure", "de_polymorph_mev_per_atom": 93, "magnetic_moment_mub_per_fu": 0.0, "spacegroup": "No. 12", "formation_energy_ev_per_atom": 0.2962, "cell": [[2.601, -4.855, 0.000], [2.601, 4.855, 0.000], [-1.638, 0.000, 2.461]], "species": ["Be", "Al", "Al", "As"], "frac_coords": [[0.000, 0.000, 0.000], [0.000, 0.500, 0.000], [0.500, 0.000, 0.000], [0.500, 0.500, 0.000]]}


{"formula": "Fe3BIr", "functional": "SCAN", "state": "single point on PBEsol structure", "magnetic_moment_mub_per_fu": 7.5, "spacegroup": "No. 221", "formation_energy_ev_per_atom": 0.1324, "cell": [[3.775, 0.000, 0.000], [0.000, 3.775, 0.000], [0.000, 0.000, 3.775]], "species": ["Fe", "Fe", "Fe", "B", "Ir"], "frac_coords": [[0.000, 0.000, 0.500], [0.000, 0.500, 0.000], [0.500, 0.000, 0.000], [0.000, 0.000, 0.000], [0.500, 0.500, 0.500]]}